Crystalline Ho3Se3O2 at its relaxed geometry, computed with PBE.

## Properties
**Formation energy from raw total energies**: -2.375 eV/atom

a = 3.8272 Å, b = 12.8393 Å, c = 13.0226 Å
α = 90.00°, β = 90.00°, γ = 90.00°
Last column: nearest neighbours and their distance in Å.
Space group Cmcm (No. 63)
One atom of each set of equivalent atoms:
Ho: 0.0000 0.1464 0.0403  3 O 2.18-2.29
Ho: 0.0000 0.1971 0.7500  2 O 2.38
Se: 0.0000 0.1502 0.2500  4 Ho 2.73-2.74
Se: 0.0000 0.4569 0.1149  6 Ho 3.08-3.27, 1 Se 3.19
O: 0.0000 0.2645 0.5801  4 Ho 2.18-2.38

Crystalline HoSeO at its relaxed geometry, computed with PBE.

## Properties
**Formation energy from raw total energies**: -2.281 eV/atom

a = 3.7395 Å, b = 3.7395 Å, c = 28.2923 Å
α = 90.00°, β = 90.00°, γ = 120.00°
Last column: nearest neighbours and their distance in Å.
Space group R-3m (No. 166, hexagonal axes)
One atom of each set of equivalent atoms:
Ho: 0.0000 0.0000 0.1152  4 O 2.24-2.33
Se: 0.0000 0.0000 0.3733  3 Ho 3.03, 3 Se 3.13
O: 0.0000 0.0000 0.1975  4 Ho 2.24-2.33

Crystalline Ho2Se3O9 at its relaxed geometry, computed with PBE.

## Properties
**Offset from the most stable computed form**: 0.00 eV per formula unit
**Formation energy from raw total energies**: -1.900 eV/atom

a = 7.0788 Å, b = 8.1498 Å, c = 9.0870 Å
α = 71.28°, β = 69.90°, γ = 66.07°
Last column: nearest neighbours and their distance in Å.
Space group P-1 (No. 2)
One atom of each set of equivalent atoms:
Ho: 0.1638 0.2745 0.4098  7 O 2.27-2.52
Ho: 0.2417 0.7367 0.7972  7 O 2.21-2.44
Se: 0.0738 0.2242 0.8017  3 O 1.71-1.75
Se: 0.3515 0.2523 0.0353  3 O 1.69-1.74
Se: 0.3870 0.7633 0.4141  3 O 1.69-1.75
O: 0.0168 0.5946 0.3518  1 Se 1.75
O: 0.0903 0.2917 0.1514  1 Se 1.74
O: 0.1382 0.0562 0.6961  1 Se 1.74
O: 0.1486 0.7914 0.0497  1 Se 1.71
O: 0.1571 0.7465 0.5636  1 Se 1.75
O: 0.3332 0.4352 0.8787  1 Se 1.69
O: 0.3374 0.9914 0.3465  1 Se 1.69
O: 0.4321 0.3082 0.1681  1 Se 1.74
O: 0.4674 0.2887 0.4454  1 Se 1.75

Crystalline HoSe2O6 at its relaxed geometry, computed with PBE.

## Properties
**Formation energy from raw total energies**: -1.473 eV/atom

a = 8.6708 Å, b = 10.1774 Å, c = 7.8935 Å
α = 90.00°, β = 113.87°, γ = 90.00°
Last column: nearest neighbours and their distance in Å.
Space group C2/c (No. 15)
One atom of each set of equivalent atoms:
Ho: 0.0000 0.0407 0.2500  8 O 2.28-2.43
Se: 0.1980 0.3704 0.2660  3 O 1.69-1.74
O: 0.1003 0.0986 0.5685  1 Se 1.74
O: 0.1818 0.2045 0.2554  1 Se 1.69
O: 0.2330 0.4294 0.0836  1 Se 1.70

no.,total energy (eV per cell),total magnetic moment (μB per atom)
1,-212.4,0.000
2,-119.2,0.000
3,-181.7,0.000
4,-218.2,0.091